VASP calculation (PBE) on crystalline PaTiZn2O8 at its relaxed geometry.

Properties
size of the total moment: 1.863 μB/cell
E: -6.8723 eV/atom
space group: I-4m2
formation energy without anion corrections: -22.86 eV/f.u.
D(E_F): 0.751 states/eV per atom
V: 150.52 Å³ per cell

Unit cell a=5.8122 b=5.8122 c=5.8122 alpha=111.65 beta=111.65 gamma=105.19
Closest atoms and distances in Å follow each position.
Sites, in units of the cell vectors:
Pa 0.0000 0.0000 0.0000  4 O 2.07
Ti 0.2500 0.7500 0.5000  4 O 1.94
Zn 0.5000 0.5000 0.0000  4 O 1.94
Zn 0.7500 0.2500 0.5000  4 O 1.91
O 0.3036 0.0951 0.7914  1 Ti 1.94, 1 Zn 1.94
O 0.3036 0.5122 0.2086  1 Ti 1.94, 1 Zn 1.94
O 0.3556 0.0423 0.3133  1 Zn 1.91, 1 Pa 2.07
O 0.4878 0.6964 0.7914  1 Ti 1.94, 1 Zn 1.94
O 0.7290 0.0423 0.6867  1 Zn 1.91, 1 Pa 2.07
O 0.9049 0.6964 0.2086  1 Ti 1.94, 1 Zn 1.94
O 0.9577 0.2710 0.3133  1 Zn 1.91, 1 Pa 2.07
O 0.9577 0.6444 0.6867  1 Zn 1.91, 1 Pa 2.07

***

VASP calculation (PBE) on crystalline ZrPaTi2O8 at its relaxed geometry.

Properties
size of the total moment: 1.084 μB/cell
E: -9.3299 eV/atom
space group: I-4
formation energy without anion corrections: -38.46 eV/f.u.
D(E_F): 0.516 states/eV per atom
V: 141.45 Å³ per cell

Unit cell a=6.4956 b=6.4956 c=6.4956 alpha=133.56 beta=133.56 gamma=67.77
Closest atoms and distances in Å follow each position.
Sites, in units of the cell vectors:
Zr 0.0000 0.0000 0.0000  8 O 2.19-2.30
Pa 0.7500 0.2500 0.5000  8 O 2.26-2.37
Ti 0.2500 0.7500 0.5000  4 O 1.89
Ti 0.5000 0.5000 0.0000  4 O 1.89
O 0.0737 0.6620 0.0583  1 Ti 1.89
O 0.1535 0.2261 0.5472  1 Ti 1.89
O 0.3380 0.3963 0.4117  1 Ti 1.89
O 0.3937 0.8465 0.0726  1 Ti 1.89
O 0.6037 0.0154 0.9417  1 Ti 1.89
O 0.6789 0.6063 0.4528  1 Ti 1.89
O 0.7739 0.3211 0.9274  1 Ti 1.89
O 0.9846 0.9263 0.5883  1 Ti 1.89

***

VASP calculation (PBE) on crystalline Pa2TlO7 at its relaxed geometry.

Properties
size of the total moment: 1.009 μB/cell
E: -8.0825 eV/atom
space group: P3m1
formation energy without anion corrections: -24.76 eV/f.u.
D(E_F): 0.055 states/eV per atom
V: 127.72 Å³ per cell

Unit cell a=3.8576 b=3.8576 c=9.9107 alpha=90.00 beta=90.00 gamma=120.00
Closest atoms and distances in Å follow each position.
Sites, in units of the cell vectors:
Pa 0.0000 0.0000 0.0000  7 O 2.23-2.42
Pa 0.3333 0.6667 0.6608  8 O 2.12-2.34
Tl 0.6667 0.3333 0.3339  7 O 2.42-2.62
O 0.0000 0.0000 0.2375  1 Pa 2.35, 3 Tl 2.42, 3 O 2.63
O 0.0000 0.0000 0.7318  3 Pa 2.34, 3 O 2.59
O 0.3333 0.6667 0.0957  1 O 2.19, 3 Pa 2.42
O 0.3333 0.6667 0.4305  1 Pa 2.28, 3 Tl 2.42
O 0.3333 0.6667 0.8746  1 Pa 2.12, 1 O 2.19
O 0.6667 0.3333 0.5987  3 Pa 2.31
O 0.6667 0.3333 0.9855  3 Pa 2.23, 6 O 2.48